# 1
## HfZr2Pd (GGA-PBE)

Data for an optimized crystal structure of HfZr2Pd.

```
HfZr2Pd
1.0
-2.010 2.010 10.607
2.010 -2.010 10.607
2.010 2.010 -10.607
Hf Zr Pd
2 4 2
Cartesian
0.000 0.000 0.000
0.000 2.010 5.303
1.005 -0.978 7.955
1.032 1.005 2.652
1.005 2.989 -2.652
0.978 1.005 13.259
2.010 0.000 5.303
0.000 0.000 10.607
```

Results
relative energy among the computed polymorphs = 0.4700 eV/atom

# 2
## Nd7Y12Pb (GGA-PBE)

Data for an optimized crystal structure of Nd7Y12Pb.

```
Nd7Y12Pb
1.0
6.207 3.583 5.170
-6.207 3.583 5.170
0.000 -7.167 5.170
Nd Y Pb
7 12 1
Cartesian
0.000 0.000 0.000
-0.911 -3.764 5.714
-2.804 2.670 5.714
-3.715 -1.093 9.798
3.715 1.093 5.714
2.804 -2.670 9.798
0.911 3.764 9.798
-2.111 0.360 2.973
0.743 -2.008 2.973
-2.776 -0.755 6.564
1.368 1.648 2.973
-0.734 -2.781 8.948
2.042 -2.026 6.564
-2.042 2.026 8.948
0.734 2.781 6.564
-1.368 -1.648 12.539
2.776 0.755 8.948
-0.743 2.008 12.539
2.111 -0.360 12.539
0.000 0.000 7.756
```

Results
electronic total energy = -111.79 eV for the cell shown

# 3
## CeBRh4 (GGA-PBE)

Data for an optimized crystal structure of CeBRh4.

```
CeBRh4
1.0
2.152 -7.276 0.000
2.152 7.276 0.000
0.000 0.000 5.893
Ce B Rh
2 2 8
Cartesian
2.152 5.724 4.420
2.152 -5.724 1.473
2.152 1.519 4.420
2.152 -1.519 1.473
2.152 5.719 1.473
2.152 2.881 0.004
2.152 2.881 2.942
2.152 0.000 0.000
2.152 0.000 2.946
2.152 -2.881 2.951
2.152 -2.881 5.889
2.152 -5.719 4.420
```

Results
relative energy among the computed polymorphs = 0.0000 eV/atom

# 4
## CeAl3Ge3 (GGA-PBE)

Data for an optimized crystal structure of CeAl3Ge3.

```
CeAl3Ge3
1.0
7.005 0.000 0.000
0.000 7.005 0.000
0.000 0.000 7.005
Ce Al Ge
2 6 6
Cartesian
0.000 0.000 0.000
3.502 3.502 3.502
0.000 1.751 3.502
0.000 5.253 3.502
1.751 3.502 0.000
3.502 0.000 1.751
3.502 0.000 5.253
5.253 3.502 0.000
0.000 3.502 1.751
0.000 3.502 5.253
1.751 0.000 3.502
3.502 1.751 0.000
3.502 5.253 0.000
5.253 0.000 3.502
```

Results
electronic total energy = -61.11 eV for the cell shown

For the records above, the corresponding spin magnetization values read 0.000; 0.000; 0.000; 0.205 μB per atom.